No. 1
InSbMo2 after structural relaxation, computed with PBE.

Unit cell a=4.668 b=4.668 c=3.353 alpha=90.00 beta=90.00 gamma=90.00
Space group P4/mmm (No. 123)
One atom of each set of equivalent atoms:
In: 0.000 0.000 0.000 (multiplicity 1)
Sb: 0.500 0.500 0.000 (multiplicity 1)
Mo: 0.000 0.500 0.500 (multiplicity 2)

Values from the calculation:
E above lowest polymorph: 0.3156 eV/atom
Crystal system: tetragonal
Theoretical density: 9.739 g/cm³

=====

No. 2
InSbMo2 after structural relaxation, computed with PBE.

Unit cell a=3.434 b=4.949 c=8.898 alpha=90.00 beta=90.00 gamma=90.00
Space group Immm (No. 71)
One atom of each set of equivalent atoms:
In: 0.000 0.000 0.000 (multiplicity 2)
Sb: 0.000 0.000 0.500 (multiplicity 2)
Mo: 0.000 0.500 0.241 (multiplicity 4)

Values from the calculation:
E above lowest polymorph: 0.3829 eV/atom
Crystal system: orthorhombic
Theoretical density: 9.410 g/cm³

=====

No. 3
InSbMo after structural relaxation, computed with PBE.

Unit cell a=3.570 b=3.570 c=9.402 alpha=90.00 beta=90.00 gamma=90.00
Space group I4mm (No. 107)
One atom of each set of equivalent atoms:
In: 0.000 0.000 0.000 (multiplicity 2)
Sb: 0.000 0.000 0.687 (multiplicity 2)
Mo: 0.000 0.000 0.327 (multiplicity 2)

Values from the calculation:
E above lowest polymorph: 0.0490 eV/atom
Crystal system: tetragonal
Theoretical density: 9.213 g/cm³

=====

No. 4
InSb2Mo after structural relaxation, computed with PBE.

Unit cell a=10.449 b=3.242 c=6.598 alpha=90.00 beta=112.21 gamma=90.00
Space group Cm (No. 8)
One atom of each set of equivalent atoms:
In: 0.000 0.000 0.000 (multiplicity 2)
Sb: 0.160 0.000 0.624 (multiplicity 2)
Sb: 0.331 0.000 0.340 (multiplicity 2)
Mo: 0.227 0.500 0.980 (multiplicity 2)

Values from the calculation:
E_tot: -41.7 eV/cell
Crystal system: monoclinic
Theoretical density: 7.291 g/cm³